DFT (PBE+U) results for HfCrSi2O8 after structural relaxation.

Results
total moment	2.0	μB per formula unit
electronic total energy	-8.141	eV per atom

Unit cell a=5.504 b=5.504 c=5.504 alpha=107.30 beta=107.30 gamma=113.92
Site moments in Bohr magnetons follow the coordinates.
Fractional coordinates of all 12 atoms:
Si: 0.750 0.250 0.500  0.01
O: 0.931 0.616 0.685  -0.12
Cr: 0.250 0.750 0.500  2.73
O: 0.754 0.069 0.685  -0.12
O: 0.873 0.686 0.187  -0.07
O: 0.384 0.069 0.315  -0.12
Si: 0.500 0.500 0.000  -0.01
O: 0.499 0.686 0.813  -0.07
O: 0.314 0.127 0.813  -0.07
Hf: 0.000 0.000 0.000  0.01
O: 0.314 0.501 0.187  -0.07
O: 0.931 0.246 0.315  -0.12